The following is a PBE calculation of a geometry-optimized TlSbAu3 structure, from the Alexandria database.

a = 4.8131 Å, b = 6.0010 Å, c = 8.4995 Å
α = 90.00°, β = 106.45°, γ = 90.00°
With the nearest neighbours (Å) after each atom.
Positions (direct):
Tl  0.9036  0.7500  0.8072  6 Au 3.11-3.26, 2 Sb 3.44
Tl  0.0964  0.2500  0.1928  6 Au 3.11-3.26, 2 Sb 3.44
Sb  0.5543  0.7500  0.1085  4 Au 2.83
Sb  0.4457  0.2500  0.8915  4 Au 2.83
Au  0.6991  0.0111  0.3982  1 Sb 2.83, 7 Au 2.87-3.13
Au  0.3009  0.9889  0.6018  1 Sb 2.83, 7 Au 2.87-3.13
Au  0.3009  0.5111  0.6018  1 Sb 2.83, 7 Au 2.87-3.13
Au  0.6991  0.4889  0.3982  1 Sb 2.83, 7 Au 2.87-3.13
Au  0.1460  0.7500  0.2920  2 Sb 2.83, 6 Au 2.90-3.00, 2 Tl 3.11
Au  0.8540  0.2500  0.7080  2 Sb 2.83, 6 Au 2.90-3.00, 2 Tl 3.11

Computed properties:
Energy above the lowest structure with this stoichiometry, meV/atom: 0.0



The following is a PBE calculation of a geometry-optimized Tl6Sb3Au structure, from the Alexandria database.

a = 6.8550 Å, b = 9.4568 Å, c = 9.5417 Å
α = 90.05°, β = 90.00°, γ = 90.00°
With the nearest neighbours (Å) after each atom.
Positions (direct):
Tl  0.9138  0.3239  0.0570  1 Au 3.17, 2 Sb 3.33-3.53, 3 Tl 3.45-3.53
Tl  0.8835  0.3187  0.4176  3 Sb 3.22-3.53, 1 Au 3.24, 3 Tl 3.45-3.55
Tl  0.7332  0.1471  0.7575  1 Au 3.26, 3 Sb 3.36-3.63, 2 Tl 3.53-3.55
Tl  0.2668  0.8529  0.2425  1 Au 3.26, 3 Sb 3.36-3.63, 2 Tl 3.53-3.55
Tl  0.1165  0.6813  0.5824  3 Sb 3.22-3.53, 1 Au 3.24, 3 Tl 3.45-3.55
Tl  0.0862  0.6761  0.9430  1 Au 3.17, 2 Sb 3.33-3.53, 3 Tl 3.45-3.53
Tl  0.5862  0.8239  0.5570  1 Au 3.17, 2 Sb 3.33-3.53, 3 Tl 3.45-3.53
Tl  0.6165  0.8187  0.9176  3 Sb 3.22-3.53, 1 Au 3.24, 3 Tl 3.45-3.55
Tl  0.7668  0.6471  0.2575  1 Au 3.26, 3 Sb 3.36-3.63, 2 Tl 3.53-3.55
Tl  0.2332  0.3529  0.7425  1 Au 3.26, 3 Sb 3.36-3.63, 2 Tl 3.53-3.55
Tl  0.3835  0.1813  0.0824  3 Sb 3.22-3.53, 1 Au 3.24, 3 Tl 3.45-3.55
Tl  0.4138  0.1761  0.4430  1 Au 3.17, 2 Sb 3.33-3.53, 3 Tl 3.45-3.53
Sb  0.2538  0.4980  0.2758  1 Au 2.73
Sb  0.5000  0.5000  0.0000  2 Sb 3.13, 6 Tl 3.22-3.36
Sb  0.7462  0.5020  0.7242  1 Au 2.73
Sb  0.2462  0.9980  0.7758  1 Au 2.73
Sb  0.0000  0.0000  0.5000  2 Sb 3.13, 6 Tl 3.22-3.36
Sb  0.7538  0.0020  0.2242  1 Au 2.73
Au  0.5000  0.5000  0.5000  2 Sb 2.73
Au  0.0000  0.0000  0.0000  2 Sb 2.73



The following is a PBE calculation of a geometry-optimized Tl2ZnSb2Au structure, from the Alexandria database.

a = 6.1368 Å, b = 6.1498 Å, c = 9.6684 Å
α = 108.54°, β = 108.50°, γ = 90.00°
With the nearest neighbours (Å) after each atom.
Positions (direct):
Tl  0.4135  0.1828  0.3656  5 Sb 3.32-3.66
Tl  0.5865  0.8172  0.6344  5 Sb 3.32-3.66
Tl  0.0480  0.3172  0.6344  5 Sb 3.32-3.66
Tl  0.9520  0.6828  0.3656  5 Sb 3.32-3.66
Zn  0.5000  0.7500  0.0000  4 Sb 2.78, 2 Au 3.07, 2 Zn 3.07
Zn  0.5000  0.2500  0.0000  4 Sb 2.78, 2 Au 3.07, 2 Zn 3.07
Sb  0.8408  0.1051  0.2102  2 Zn 2.78, 2 Au 2.88
Sb  0.3694  0.6051  0.2102  2 Zn 2.78, 2 Au 2.88
Sb  0.6306  0.3949  0.7898  2 Zn 2.78, 2 Au 2.88
Sb  0.1592  0.8949  0.7898  2 Zn 2.78, 2 Au 2.88
Au  0.0000  0.7500  0.0000  4 Sb 2.88, 2 Zn 3.07, 2 Au 3.07
Au  0.0000  0.2500  0.0000  4 Sb 2.88, 2 Zn 3.07, 2 Au 3.07



| no. | uncorrected energy (eV per atom) | DOS at the Fermi energy (states/eV/f.u.) |
| --- | --- | --- |
| 1 | -3.265 | 1.54 |
| 2 | -3.003 | 3.62 |
| 3 | -2.952 | 1.73 |